DFT (PBE-GGA) results for a relaxed structure of MnC3.

Output
Total moment = 0.208 μB per atom
Distance to the lowest polymorph of the same formula = 4.459 eV per formula unit
Mass density = 3.5 g cm⁻³
Energy of formation from the pure elements = 1.824 eV/atom

Geometry as CIF:
```
data_MnC3
_cell_length_a 3.7805
_cell_length_b 3.7805
_cell_length_c 14.0907
_cell_angle_alpha 90.00
_cell_angle_beta 90.00
_cell_angle_gamma 120.00
_symmetry_space_group_name_H-M 'P 63/m m c'
_symmetry_Int_Tables_number 194
_symmetry_space_group_name_Hall '-P 6c 2c'
loop_
_atom_site_label
_atom_site_fract_x
_atom_site_fract_y
_atom_site_fract_z
_atom_site_occupancy
Mn1 0.0000 0.0000 0.0000 1
Mn2 0.3333 0.6667 0.2500 1
C1 0.0000 0.5000 0.0000 1
C2 0.2061 0.4122 0.7500 1
```

=====

DFT (PBE-GGA) results for a relaxed structure of Sm2Ga4Pd3.

Output
Total moment = 0.000 μB per atom
Mass density = 8.8 g cm⁻³
Energy of formation from the pure elements = -0.764 eV/atom

Geometry as CIF:
```
data_Sm2Ga4Pd3
_cell_length_a 5.875
_cell_length_b 15.276
_cell_length_c 7.597
_cell_angle_alpha 90.00
_cell_angle_beta 90.00
_cell_angle_gamma 90.00
_symmetry_space_group_name_H-M 'C m c e'
_symmetry_Int_Tables_number 64
_symmetry_space_group_name_Hall '-C 2ac 2'
loop_
_atom_site_label
_atom_site_fract_x
_atom_site_fract_y
_atom_site_fract_z
_atom_site_occupancy
Sm1 0.000 0.113 0.087 1
Ga1 0.000 0.178 0.479 1
Ga2 0.250 0.057 0.750 1
Pd1 0.000 0.000 0.500 1
Pd2 0.250 0.228 0.750 1
```

=====

DFT (PBE-GGA) results for a relaxed structure of Er3Ga6Co5.

Output
Total moment = 0.016 μB per atom
Mass density = 9.1 g cm⁻³
Energy of formation from the pure elements = -0.436 eV/atom

Geometry as CIF:
```
data_Er3Ga6Co5
_cell_length_a 4.060
_cell_length_b 12.143
_cell_length_c 8.979
_cell_angle_alpha 90.00
_cell_angle_beta 90.00
_cell_angle_gamma 90.00
_symmetry_space_group_name_H-M 'P m m n'
_symmetry_Int_Tables_number 59
loop_
_symmetry_equiv_pos_as_xyz
'x,y,z'
'-x,-y,-z'
'-x+1/2,-y+1/2,z'
'x+1/2,y+1/2,-z'
'x+1/2,-y,-z'
'-x+1/2,y,z'
'-x,y+1/2,-z'
'x,-y+1/2,z'
loop_
_atom_site_label
_atom_site_fract_x
_atom_site_fract_y
_atom_site_fract_z
_atom_site_occupancy
Er1 0.250 0.051 0.249 1
Er2 0.250 0.750 0.266 1
Ga1 0.250 0.072 0.589 1
Ga2 0.250 0.250 0.038 1
Ga3 0.250 0.250 0.419 1
Ga4 0.250 0.598 0.982 1
Co1 0.250 0.094 0.864 1
Co2 0.250 0.640 0.546 1
Co3 0.250 0.750 0.779 1
```

=====

DFT (PBE-GGA) results for a relaxed structure of LaPrCuHg.

Output
Total moment = 0.000 μB per atom
Distance to the lowest polymorph of the same formula = 0.000 eV per formula unit
Mass density = 8.4 g cm⁻³
Energy of formation from the pure elements = -0.298 eV/atom

Geometry as CIF:
```
data_LaPrCuHg
_cell_length_a 3.746
_cell_length_b 3.746
_cell_length_c 7.631
_cell_angle_alpha 90.00
_cell_angle_beta 90.00
_cell_angle_gamma 90.00
_symmetry_space_group_name_H-M 'P 4 m m'
_symmetry_Int_Tables_number 99
loop_
_symmetry_equiv_pos_as_xyz
'x,y,z'
'-y,x,z'
'-x,-y,z'
'y,-x,z'
'-x,y,z'
'y,x,z'
'x,-y,z'
'-y,-x,z'
loop_
_atom_site_label
_atom_site_fract_x
_atom_site_fract_y
_atom_site_fract_z
_atom_site_occupancy
La1 0.000 0.000 0.000 1
Pr1 0.000 0.000 0.455 1
Cu1 0.500 0.500 0.233 1
Hg1 0.500 0.500 0.723 1
```

=====

DFT (PBE-GGA) results for a relaxed structure of UAgSn2.

Output
Total moment = 0.722 μB per atom
Distance to the lowest polymorph of the same formula = 0.709 eV per formula unit
Mass density = 10.4 g cm⁻³
Energy of formation from the pure elements = 0.135 eV/atom

Geometry as CIF:
```
data_UAgSn2
_cell_length_a 3.119
_cell_length_b 3.119
_cell_length_c 9.596
_cell_angle_alpha 90.00
_cell_angle_beta 90.00
_cell_angle_gamma 90.00
_symmetry_space_group_name_H-M 'P 4/m m m'
_symmetry_Int_Tables_number 123
_symmetry_space_group_name_Hall '-P 4 2'
loop_
_atom_site_label
_atom_site_fract_x
_atom_site_fract_y
_atom_site_fract_z
_atom_site_occupancy
U1 0.000 0.000 0.000 1
Ag1 0.000 0.000 0.500 1
Sn1 0.500 0.500 0.262 1
```

=====

DFT (PBE-GGA) results for a relaxed structure of ZrSF.

Output
Total moment = 0.000 μB per atom
Mass density = 5.3 g cm⁻³
Energy relative to the elements, uncorrected = -2.1061 eV/atom

Geometry as CIF:
```
data_ZrSF
_cell_length_a 3.9513
_cell_length_b 3.9513
_cell_length_c 3.3101
_cell_angle_alpha 90.00
_cell_angle_beta 90.00
_cell_angle_gamma 120.00
_symmetry_space_group_name_H-M 'P -6 m 2'
_symmetry_Int_Tables_number 187
_symmetry_space_group_name_Hall 'P -6 2'
loop_
_atom_site_label
_atom_site_fract_x
_atom_site_fract_y
_atom_site_fract_z
_atom_site_occupancy
Zr1 0.0000 0.0000 0.0000 1
S1 0.6667 0.3333 0.5000 1
F1 0.3333 0.6667 0.0000 1
```

=====

DFT (PBE-GGA) results for a relaxed structure of LiTbEr2.

Output
Total moment = 0.000 μB per atom
Distance to the lowest polymorph of the same formula = 0.000 eV per formula unit
Mass density = 7.4 g cm⁻³
Energy of formation from the pure elements = 0.072 eV/atom

Geometry as CIF:
```
data_LiTbEr2
_cell_length_a 3.580
_cell_length_b 3.580
_cell_length_c 8.769
_cell_angle_alpha 90.00
_cell_angle_beta 90.00
_cell_angle_gamma 90.00
_symmetry_space_group_name_H-M 'P 4/m m m'
_symmetry_Int_Tables_number 123
_symmetry_space_group_name_Hall '-P 4 2'
loop_
_atom_site_label
_atom_site_fract_x
_atom_site_fract_y
_atom_site_fract_z
_atom_site_occupancy
Li1 0.000 0.000 0.000 1
Tb1 0.000 0.000 0.500 1
Er1 0.500 0.500 0.221 1
```

=====

DFT (PBE-GGA) results for a relaxed structure of TiFe4Ir15.

Output
Total moment = 0.378 μB per atom
Mass density = 18.7 g cm⁻³
Energy of formation from the pure elements = -0.157 eV/atom

Geometry as CIF:
```
data_TiFe4Ir15
_cell_length_a 3.825
_cell_length_b 3.825
_cell_length_c 19.123
_cell_angle_alpha 90.00
_cell_angle_beta 90.00
_cell_angle_gamma 90.00
_symmetry_space_group_name_H-M 'P 4/m m m'
_symmetry_Int_Tables_number 123
_symmetry_space_group_name_Hall '-P 4 2'
loop_
_atom_site_label
_atom_site_fract_x
_atom_site_fract_y
_atom_site_fract_z
_atom_site_occupancy
Ti1 0.000 0.000 0.000 1
Fe1 0.000 0.000 0.203 1
Fe2 0.000 0.000 0.401 1
Ir1 0.000 0.500 0.103 1
Ir2 0.000 0.500 0.304 1
Ir3 0.000 0.500 0.500 1
Ir4 0.500 0.500 0.000 1
Ir5 0.500 0.500 0.202 1
Ir6 0.500 0.500 0.401 1
```

=====

DFT (PBE-GGA) results for a relaxed structure of RbZrTc2.

Output
Total moment = 0.000 μB per atom
Distance to the lowest polymorph of the same formula = 0.016 eV per formula unit
Mass density = 7.7 g cm⁻³
Energy of formation from the pure elements = 1.444 eV/atom

Geometry as CIF:
```
data_RbZrTc2
_cell_length_a 6.840
_cell_length_b 6.840
_cell_length_c 6.840
_cell_angle_alpha 90.00
_cell_angle_beta 90.00
_cell_angle_gamma 90.00
_symmetry_space_group_name_H-M 'F m -3 m'
_symmetry_Int_Tables_number 225
_symmetry_space_group_name_Hall '-F 4 2 3'
loop_
_atom_site_label
_atom_site_fract_x
_atom_site_fract_y
_atom_site_fract_z
_atom_site_occupancy
Rb1 0.000 0.000 0.000 1
Zr1 0.000 0.000 0.500 1
Tc1 0.250 0.250 0.250 1
```

=====

DFT (PBE-GGA) results for a relaxed structure of Li2AcMgPb4.

Output
Total moment = 0.000 μB per atom
Mass density = 8.2 g cm⁻³
Energy of formation from the pure elements = -0.274 eV/atom

Geometry as CIF:
```
data_Li2AcMgPb4
_cell_length_a 5.1538
_cell_length_b 5.1538
_cell_length_c 28.8928
_cell_angle_alpha 90.00
_cell_angle_beta 90.00
_cell_angle_gamma 120.00
_symmetry_space_group_name_H-M 'R -3 m'
_symmetry_Int_Tables_number 166
_symmetry_space_group_name_Hall '-R 3 2"'
loop_
_atom_site_label
_atom_site_fract_x
_atom_site_fract_y
_atom_site_fract_z
_atom_site_occupancy
Li1 0.0000 0.0000 0.2407 1
Ac1 0.0000 0.0000 0.0000 1
Mg1 0.0000 0.0000 0.5000 1
Pb1 0.0000 0.0000 0.1284 1
Pb2 0.0000 0.0000 0.3952 1
```

=====

DFT (PBE-GGA) results for a relaxed structure of ErTh4Te8.

Output
Total moment = 0.000 μB per atom
Mass density = 6.9 g cm⁻³
Energy relative to the elements, uncorrected = -1.0776 eV/atom

Geometry as CIF:
```
data_ErTh4Te8
_cell_length_a 12.651
_cell_length_b 12.651
_cell_length_c 12.651
_cell_angle_alpha 90.00
_cell_angle_beta 90.00
_cell_angle_gamma 90.00
_symmetry_space_group_name_H-M 'F -4 3 m'
_symmetry_Int_Tables_number 216
_symmetry_space_group_name_Hall 'F -4 2 3'
loop_
_atom_site_label
_atom_site_fract_x
_atom_site_fract_y
_atom_site_fract_z
_atom_site_occupancy
Er1 0.000 0.000 0.000 1
Th1 0.110 0.110 0.390 1
Te1 0.134 0.134 0.134 1
Te2 0.135 0.135 0.635 1
```

=====

DFT (PBE-GGA) results for a relaxed structure of Li2PtBr.

Output
Total moment = 0.000 μB per atom
Distance to the lowest polymorph of the same formula = 0.505 eV per formula unit
Mass density = 7.4 g cm⁻³
Energy relative to the elements, uncorrected = -0.5052 eV/atom

Geometry as CIF:
```
data_Li2PtBr
_cell_length_a 4.494
_cell_length_b 4.494
_cell_length_c 3.219
_cell_angle_alpha 90.00
_cell_angle_beta 90.00
_cell_angle_gamma 90.00
_symmetry_space_group_name_H-M 'P 4/m m m'
_symmetry_Int_Tables_number 123
_symmetry_space_group_name_Hall '-P 4 2'
loop_
_atom_site_label
_atom_site_fract_x
_atom_site_fract_y
_atom_site_fract_z
_atom_site_occupancy
Li1 0.000 0.500 0.000 1
Pt1 0.000 0.000 0.500 1
Br1 0.500 0.500 0.500 1
```

=====

The Fermi-level density of states results, record by record, are as follows: 0.24 0.52 1.07 1.11 1.59 0.38 1.15 1.18 1.34 0.56 0.35 0.40 states/eV/atom.